First-principles (PBE) data for CrAsSe after structural relaxation, as listed in Alexandria via LeMat-Bulk.

Lattice parameters (Å, degrees): 4.5163 4.5163 4.5163 60.00 60.00 60.00
Last column: nearest neighbours and their distance in Å.
Sites, in units of the cell vectors:
Cr 0.0000 0.0000 0.0000  4 As 2.77
As 0.7500 0.7500 0.7500  4 Se 2.77, 4 Cr 2.77
Se 0.5000 0.5000 0.5000  4 As 2.77

V ... 65 Å³/cell
Space-group type ... No. 216
Total magnetization ... 3.78 Bohr magnetons per cell
Total energy ... -5.3772 eV per atom
Uncorrected formation energy ... 1.63 eV per formula unit

---

First-principles (PBE) data for Ho12Tl5Te2 after structural relaxation, as listed in Alexandria via LeMat-Bulk.

Lattice parameters (Å, degrees): 8.3923 9.2097 8.6411 103.44 90.00 117.10
Last column: nearest neighbours and their distance in Å.
Sites, in units of the cell vectors:
Ho 0.5838 0.7651 0.4547  4 Tl 3.07-3.41, 1 Ho 3.38
Ho 0.1138 0.2275 0.8426  2 Tl 3.06-3.24, 2 Te 3.13
Ho 0.5107 0.0215 0.7938  2 Te 3.03, 1 Tl 3.08
Ho 0.8862 0.7725 0.1574  2 Tl 3.06-3.24, 2 Te 3.13
Ho 0.5303 0.6313 0.8120  1 Te 3.10, 4 Tl 3.18-3.46
Ho 0.8990 0.3687 0.1880  1 Te 3.10, 4 Tl 3.18-3.46
Ho 0.1010 0.6313 0.8120  1 Te 3.10, 4 Tl 3.18-3.46
Ho 0.1813 0.7651 0.4547  4 Tl 3.07-3.41, 1 Ho 3.38
Ho 0.4697 0.3687 0.1880  1 Te 3.10, 4 Tl 3.18-3.46
Ho 0.4893 0.9785 0.2062  2 Te 3.03, 1 Tl 3.08
Ho 0.4162 0.2349 0.5453  4 Tl 3.07-3.41, 1 Ho 3.38
Ho 0.8187 0.2349 0.5453  4 Tl 3.07-3.41, 1 Ho 3.38
Tl 0.7866 0.5732 0.5137  6 Ho 3.07-3.39
Tl 0.2945 0.5891 0.1093  8 Ho 3.08-3.41
Tl 0.0000 0.0000 0.5000  6 Ho 3.06-3.12
Tl 0.7055 0.4109 0.8907  8 Ho 3.08-3.41
Tl 0.2134 0.4268 0.4863  6 Ho 3.07-3.39
Te 0.7877 0.0000 0.0000  6 Ho 3.03-3.13
Te 0.2123 0.0000 0.0000  6 Ho 3.03-3.13

V ... 574 Å³/cell
Space-group type ... No. 12
Total magnetization ... 0.00 Bohr magnetons per cell
Total energy ... -4.1559 eV per atom
Uncorrected formation energy ... -5.91 eV per formula unit

---

First-principles (PBE) data for RbZr3Mn after structural relaxation, as listed in Alexandria via LeMat-Bulk.

Lattice parameters (Å, degrees): 5.0737 5.0737 5.0737 90.00 90.00 90.00
Last column: nearest neighbours and their distance in Å.
Sites, in units of the cell vectors:
Zr 0.0000 0.5000 0.0000  2 Mn 2.54
Zr 0.0000 0.0000 0.5000  2 Mn 2.54
Zr 0.5000 0.0000 0.0000  2 Mn 2.54
Rb 0.5000 0.5000 0.5000  12 Zr 3.59
Mn 0.0000 0.0000 0.0000  6 Zr 2.54

V ... 131 Å³/cell
E_form ... 71.0 kJ/mol of atoms
Space-group type ... No. 221
Energy above the lowest structure with this stoichiometry ... 0.000 eV per atom
Total magnetization ... 0.00 Bohr magnetons per cell
Total energy ... -6.4200 eV per atom